# SrCaSi3

SrCaSi3 after structural relaxation (GGA-PBE, Alexandria via LeMat-Bulk).

It has space group Cmcm (No. 63), with a = 4.659 Å, b = 25.130 Å, c = 3.965 Å, α = 90.00°, β = 90.00° and γ = 90.00°. Symmetry generates all atoms from Sr at (0.000, 0.073, 0.250), Ca at (0.000, 0.203, 0.750), Si at (0.000, 0.324, 0.750), Si at (0.000, 0.379, 0.250) and Si at (0.000, 0.475, 0.250).

The total magnetization is 0.0 μB per cell. As for the formation energy without anion corrections: -0.428 eV/atom. The value obtained for the energy above the most stable polymorph in this dataset is 0.00 eV per formula unit. Its density of states at the Fermi level is 6.4 states/eV per cell.